Record 1
Entry from Alexandria via LeMat-Bulk: a relaxed HoCdAu crystal (PBE-GGA).

Unit cell a=4.800 b=4.800 c=3.409 alpha=90.00 beta=90.00 gamma=120.00
Element x y z (fractional)
Ho 0.000 0.000 0.000
Cd 0.333 0.667 0.500
Au 0.667 0.333 0.500

Fermi-level density of states: 0.7271 states/eV per atom
DFT formation energy: -0.55 eV/atom
crystal system: hexagonal
E_tot: -0.2553 Ry/atom


Record 2
Entry from Alexandria via LeMat-Bulk: a relaxed Ho3Cd3Au2 crystal (PBE-GGA).

Unit cell a=7.706 b=7.706 c=3.755 alpha=90.00 beta=90.00 gamma=120.00
Element x y z (fractional)
Ho 0.000 0.418 0.000
Ho 0.418 0.000 0.000
Ho 0.582 0.582 0.000
Cd 0.000 0.775 0.500
Cd 0.225 0.225 0.500
Cd 0.775 0.000 0.500
Au 0.333 0.667 0.500
Au 0.667 0.333 0.500

Fermi-level density of states: 0.6793 states/eV per atom
DFT formation energy: -0.59 eV/atom
crystal system: hexagonal
E_tot: -0.2548 Ry/atom